[1]
Here is crystalline Mn2HgAs at its relaxed geometry from Alexandria via LeMat-Bulk. Energies are from PBE-GGA.

The structure in CIF format:
```
data_Mn2HgAs
_chemical_formula_sum 'Mn2 Hg1 As1'
_symmetry_space_group_name_H-M 'P 4/m m m'
_symmetry_Int_Tables_number 123
_symmetry_space_group_name_Hall '-P 4 2'
_cell_length_a 3.1935
_cell_length_b 3.1935
_cell_length_c 6.4441
_cell_angle_alpha 90.00
_cell_angle_beta 90.00
_cell_angle_gamma 90.00
loop_
_atom_site_label
_atom_site_fract_x
_atom_site_fract_y
_atom_site_fract_z
Mn1 0.0000 0.0000 0.2070
Hg1 0.5000 0.5000 0.5000
As1 0.5000 0.5000 0.0000
```

Results
- Total moment: 6.393 μB per formula unit
- Formation energy from the elements: 0.189 eV/atom
- Excess energy over the best structure of this formula in the dataset: 19 meV per atom
- Uncorrected energy: -5.633 eV per atom
- Volume: 65.72 Å³ per cell
- Mass density: 9.74 Mg/m³

***

[2]
Here is crystalline MnHg2As2 at its relaxed geometry from Alexandria via LeMat-Bulk. Energies are from PBE-GGA.

The structure in CIF format:
```
data_MnHg2As2
_chemical_formula_sum 'Mn2 Hg4 As4'
_symmetry_space_group_name_H-M 'P 4/m b m'
_symmetry_Int_Tables_number 127
_symmetry_space_group_name_Hall '-P 4 2ab'
_cell_length_a 6.3110
_cell_length_b 6.3110
_cell_length_c 5.6181
_cell_angle_alpha 90.00
_cell_angle_beta 90.00
_cell_angle_gamma 90.00
loop_
_atom_site_label
_atom_site_fract_x
_atom_site_fract_y
_atom_site_fract_z
Mn1 0.0000 0.0000 0.0000
Hg1 0.1810 0.3190 0.5000
As1 0.1432 0.3568 0.0000
```

Results
- Total moment: 2.907 μB per formula unit
- Formation energy from the elements: 0.103 eV/atom
- Uncorrected energy: -3.711 eV per atom
- Volume: 223.76 Å³ per cell
- Mass density: 8.99 Mg/m³

***

[3]
Here is crystalline MnHg2As at its relaxed geometry from Alexandria via LeMat-Bulk. Energies are from PBE-GGA.

The structure in CIF format:
```
data_MnHg2As
_chemical_formula_sum 'Mn2 Hg4 As2'
_symmetry_space_group_name_H-M 'I m m m'
_symmetry_Int_Tables_number 71
_symmetry_space_group_name_Hall '-I 2 2'
_cell_length_a 3.1603
_cell_length_b 3.9447
_cell_length_c 14.0670
_cell_angle_alpha 90.00
_cell_angle_beta 90.00
_cell_angle_gamma 90.00
loop_
_atom_site_label
_atom_site_fract_x
_atom_site_fract_y
_atom_site_fract_z
Mn1 0.0000 0.0000 0.0000
Hg1 0.0000 0.5000 0.3176
As1 0.0000 0.0000 0.5000
```

Results
- Total moment: 3.805 μB per formula unit
- Formation energy from the elements: 0.137 eV/atom
- Uncorrected energy: -3.468 eV per atom
- Volume: 175.37 Å³ per cell
- Mass density: 10.06 Mg/m³